No. 1
Density functional theory data (PBE) for an optimized crystal structure of ZnAs2Os2.

Summary:
Calculated volume (Å³ per cell): 86.8
Crystal system: tetragonal
Energy of formation (eV per atom): 0.315
ρ (kg/m³): 11390

abc: 5.5978 5.5978 5.5978
angles: 134.85 134.85 65.77
Closest atoms and distances in Å follow each position.
Element x y z (fractional)
Zn: 0.0000 0.0000 0.0000  8 Os 3.18, 10 As 3.27-3.49
As: 0.3710 0.3710 0.0000  1 As 2.42, 4 Os 2.43
As: 0.6290 0.6290 0.0000  1 As 2.42, 4 Os 2.43
Os: 0.2500 0.7500 0.5000  4 As 2.43
Os: 0.7500 0.2500 0.5000  4 As 2.43


No. 2
Density functional theory data (PBE) for an optimized crystal structure of Tb3BiPd12.

Summary:
Calculated volume (Å³ per cell): 282.6
Crystal system: tetragonal
Energy of formation (eV per atom): -0.717
ρ (kg/m³): 11532

abc: 4.1353 4.1353 16.5272
angles: 90.00 90.00 90.00
Closest atoms and distances in Å follow each position.
Element x y z (fractional)
Tb: 0.0000 0.0000 0.0000  12 Pd 2.92-2.93
Tb: 0.0000 0.0000 0.2470  12 Pd 2.89-2.97
Tb: 0.0000 0.0000 0.7530  12 Pd 2.89-2.97
Bi: 0.0000 0.0000 0.5000  12 Pd 2.91-2.92
Pd: 0.0000 0.5000 0.1252  4 Tb 2.89-2.93, 8 Pd 2.92-2.96
Pd: 0.0000 0.5000 0.3760  8 Pd 2.90-2.92, 2 Bi 2.91, 2 Tb 2.97
Pd: 0.0000 0.5000 0.6240  8 Pd 2.90-2.92, 2 Bi 2.91, 2 Tb 2.97
Pd: 0.0000 0.5000 0.8748  4 Tb 2.89-2.93, 8 Pd 2.92-2.96
Pd: 0.5000 0.0000 0.1252  4 Tb 2.89-2.93, 8 Pd 2.92-2.96
Pd: 0.5000 0.0000 0.3760  8 Pd 2.90-2.92, 2 Bi 2.91, 2 Tb 2.97
Pd: 0.5000 0.0000 0.6240  8 Pd 2.90-2.92, 2 Bi 2.91, 2 Tb 2.97
Pd: 0.5000 0.0000 0.8748  4 Tb 2.89-2.93, 8 Pd 2.92-2.96
Pd: 0.5000 0.5000 0.0000  4 Tb 2.92, 8 Pd 2.93
Pd: 0.5000 0.5000 0.2531  8 Pd 2.90-2.96, 4 Tb 2.93
Pd: 0.5000 0.5000 0.5000  8 Pd 2.91, 4 Bi 2.92
Pd: 0.5000 0.5000 0.7469  8 Pd 2.90-2.96, 4 Tb 2.93


No. 3
Density functional theory data (PBE) for an optimized crystal structure of LaYOs2.

Summary:
Calculated volume (Å³ per cell): 101.1
Crystal system: monoclinic
Energy of formation (eV per atom): -0.096
ρ (kg/m³): 9986

abc: 4.5187 4.3714 5.5941
angles: 90.00 113.74 90.00
Closest atoms and distances in Å follow each position.
Element x y z (fractional)
La: 0.0000 0.0000 0.0000  7 Os 3.03-3.32
Y: 0.7072 0.5000 0.4144  7 Os 2.96-3.27
Os: 0.2959 0.0000 0.5919  2 Os 2.41
Os: 0.3945 0.5000 0.7894  2 Os 2.41


No. 4
Density functional theory data (PBE) for an optimized crystal structure of CoRe2Te.

Summary:
Calculated volume (Å³ per cell): 60.6
ΔE_f (raw) (eV/f.u.): 2.8
Crystal system: tetragonal
ρ (kg/m³): 15306

abc: 4.4217 4.4217 3.1015
angles: 90.00 90.00 90.00
Closest atoms and distances in Å follow each position.
Element x y z (fractional)
Co: 0.0000 0.0000 0.0000  8 Re 2.70
Re: 0.0000 0.5000 0.5000  4 Te 2.70, 4 Co 2.70
Re: 0.5000 0.0000 0.5000  4 Te 2.70, 4 Co 2.70
Te: 0.5000 0.5000 0.0000  8 Re 2.70


No. 5
Density functional theory data (PBE) for an optimized crystal structure of Zr3CdH.

Summary:
Calculated volume (Å³ per cell): 183.8
Calculated total energy (eV per atom): -6.13
Crystal system: monoclinic
ρ (kg/m³): 6992

abc: 5.7151 5.7151 9.0191
angles: 114.77 114.77 44.42
Closest atoms and distances in Å follow each position.
Element x y z (fractional)
Zr: 0.1203 0.1203 0.4355  2 H 2.16
Zr: 0.3736 0.3736 0.3029  2 H 2.24-2.36
Zr: 0.3749 0.3749 0.8151  1 H 2.26
Zr: 0.6251 0.6251 0.1849  1 H 2.26
Zr: 0.6264 0.6264 0.6971  2 H 2.24-2.36
Zr: 0.8797 0.8797 0.5645  2 H 2.16
Cd: 0.1264 0.1264 0.9414  9 Zr 3.08-3.30, 3 Cd 3.18-3.29
Cd: 0.8736 0.8736 0.0586  9 Zr 3.08-3.30, 3 Cd 3.18-3.29
H: 0.3888 0.3888 0.5725  5 Zr 2.16-2.36
H: 0.6112 0.6112 0.4275  5 Zr 2.16-2.36


No. 6
Density functional theory data (PBE) for an optimized crystal structure of Te2PbCl.

Summary:
Calculated volume (Å³ per cell): 111.8
ΔE_f (raw) (eV/f.u.): 0.5
Crystal system: trigonal
ρ (kg/m³): 7392

abc: 11.3905 11.3905 11.3905
angles: 17.13 17.13 17.13
Closest atoms and distances in Å follow each position.
Element x y z (fractional)
Te: 0.0931 0.0931 0.0931  1 Pb 3.14, 3 Cl 3.16, 6 Te 3.39
Te: 0.9069 0.9069 0.9069  1 Pb 3.14, 3 Cl 3.16, 6 Te 3.39
Pb: 0.0000 0.0000 0.0000  2 Te 3.14, 6 Pb 3.39
Cl: 0.5000 0.5000 0.5000  6 Te 3.16, 6 Cl 3.39